No. 1
A plane-wave DFT calculation with GGA-PBE was carried out for crystalline CrPbS2 at its relaxed geometry.

calculated total energy = -5.92 eV per atom
ρ = 6.6 g cm⁻³
E_form (uncorrected) = -50.7 kJ per mole of atoms
N(E_F) = 1.549 states/eV/cell

a = 7.9042 Å, b = 7.9042 Å, c = 7.9042 Å
α = 25.72°, β = 25.72°, γ = 25.72°
Closest atoms and distances in Å follow each position.
Atoms (fractional coordinates):
Cr: 0.0000 0.0000 0.0000  6 S 2.40-2.42
Pb: 0.8341 0.8341 0.8341  6 S 3.23-3.25, 6 Pb 3.52
S: 0.3903 0.3903 0.3903  3 Cr 2.42
S: 0.6105 0.6105 0.6105  3 Cr 2.40

***

No. 2
A plane-wave DFT calculation with GGA-PBE was carried out for crystalline Ac8Ga3SnI4 at its relaxed geometry.

calculated total energy = -4.06 eV per atom
ρ = 7.1 g cm⁻³
E_form (uncorrected) = -76.9 kJ per mole of atoms
N(E_F) = 9.729 states/eV/cell

a = 9.6174 Å, b = 9.6174 Å, c = 9.6174 Å
α = 59.59°, β = 59.59°, γ = 59.59°
Closest atoms and distances in Å follow each position.
Atoms (fractional coordinates):
Ac: 0.2277 0.7419 0.7419  2 Ga 3.19, 1 Sn 3.29, 1 I 3.51
Ac: 0.2350 0.2350 0.2350  3 Ga 3.20
Ac: 0.2581 0.2581 0.7723  2 Ga 3.19, 1 Sn 3.29, 1 I 3.51
Ac: 0.2581 0.7723 0.2581  2 Ga 3.19, 1 Sn 3.29, 1 I 3.51
Ac: 0.7419 0.2277 0.7419  2 Ga 3.19, 1 Sn 3.29, 1 I 3.51
Ac: 0.7419 0.7419 0.2277  2 Ga 3.19, 1 Sn 3.29, 1 I 3.51
Ac: 0.7650 0.7650 0.7650  3 Ga 3.20
Ac: 0.7723 0.2581 0.2581  2 Ga 3.19, 1 Sn 3.29, 1 I 3.51
Ga: 0.0000 0.0000 0.5000  6 Ac 3.19-3.20
Ga: 0.0000 0.5000 0.0000  6 Ac 3.19-3.20
Ga: 0.5000 0.0000 0.0000  6 Ac 3.19-3.20
Sn: 0.5000 0.5000 0.5000  6 Ac 3.29
I: 0.0000 0.0000 0.0000  6 Ac 3.51
I: 0.0000 0.5000 0.5000  6 Ac 3.61
I: 0.5000 0.0000 0.5000  6 Ac 3.61
I: 0.5000 0.5000 0.0000  6 Ac 3.61

***

No. 3
A plane-wave DFT calculation with GGA-PBE was carried out for crystalline SmTm2Hg2 at its relaxed geometry.

energy of formation = -0.226 eV per atom
calculated total energy = -3.08 eV per atom
ρ = 10.1 g cm⁻³
N(E_F) = 6.260 states/eV/cell

a = 5.1352 Å, b = 5.1352 Å, c = 6.4012 Å
α = 90.00°, β = 90.00°, γ = 120.00°
Closest atoms and distances in Å follow each position.
Atoms (fractional coordinates):
Sm: 0.0000 0.0000 0.0000  6 Hg 3.20
Tm: 0.3333 0.6667 0.6593  4 Hg 3.01-3.12
Tm: 0.6667 0.3333 0.3407  4 Hg 3.01-3.12
Hg: 0.3333 0.6667 0.1893  4 Tm 3.01-3.12, 3 Sm 3.20
Hg: 0.6667 0.3333 0.8107  4 Tm 3.01-3.12, 3 Sm 3.20

***

No. 4
A plane-wave DFT calculation with GGA-PBE was carried out for crystalline TeRu2Cl at its relaxed geometry.

calculated total energy = -5.56 eV per atom
ρ = 7.6 g cm⁻³
E_form (uncorrected) = 31.8 kJ per mole of atoms
N(E_F) = 4.803 states/eV/cell

a = 3.1127 Å, b = 3.8688 Å, c = 6.6203 Å
α = 90.00°, β = 90.00°, γ = 90.00°
Closest atoms and distances in Å follow each position.
Atoms (fractional coordinates):
Te: 0.0000 0.0000 0.0000  5 Ru 2.56-2.78
Ru: 0.0000 0.0000 0.6127  1 Te 2.56, 4 Cl 2.68, 4 Ru 2.81
Ru: 0.5000 0.5000 0.8102  1 Cl 2.31
Cl: 0.5000 0.5000 0.4606  1 Ru 2.31

***

- What is the N(E_F) in the third record?
  6.260 states/eV/cell

***

- Number 2 is which compound?
  Ac8Ga3SnI4

***

- The highest N(E_F) belongs to which entry?
  Ac8Ga3SnI4